# PBE Tb5Tl2Au2, relaxed
data_Tb5Tl2Au2
_symmetry_space_group_name_H-M 'C m c e'
_symmetry_Int_Tables_number 64
_symmetry_space_group_name_Hall '-C 2ac 2'
_cell_length_a 15.717
_cell_length_b 8.676
_cell_length_c 7.336
_cell_angle_alpha 90.00
_cell_angle_beta 90.00
_cell_angle_gamma 90.00
loop_
_atom_site_label
_atom_site_type_symbol
_atom_site_fract_x
_atom_site_fract_y
_atom_site_fract_z
_atom_site_occupancy
Tb1 Tb 0.000 0.000 0.000 1
Tb2 Tb 0.129 0.182 0.346 1
Tl1 Tl 0.210 0.000 0.000 1
Au1 Au 0.000 0.129 0.633 1
# Size of the total moment: 0.000 μB/f.u.
# Total DFT energy (no corrections): -4.344 eV/atom
# Formation enthalpy at 0 K: -4.7 eV per formula unit

---

# PBE Tb4TlAu3, relaxed
data_Tb4TlAu3
_symmetry_space_group_name_H-M 'P m m m'
_symmetry_Int_Tables_number 47
_cell_length_a 3.651
_cell_length_b 5.200
_cell_length_c 10.378
_cell_angle_alpha 90.00
_cell_angle_beta 90.00
_cell_angle_gamma 90.00
loop_
_symmetry_equiv_pos_as_xyz
'x,y,z'
'-x,-y,-z'
'-x,-y,z'
'x,y,-z'
'x,-y,-z'
'-x,y,z'
'-x,y,-z'
'x,-y,z'
loop_
_atom_site_label
_atom_site_type_symbol
_atom_site_fract_x
_atom_site_fract_y
_atom_site_fract_z
_atom_site_occupancy
Tb1 Tb 0.000 0.000 0.000 1
Tb2 Tb 0.000 0.000 0.500 1
Tb3 Tb 0.000 0.500 0.237 1
Tl1 Tl 0.500 0.500 0.500 1
Au1 Au 0.500 0.000 0.253 1
Au2 Au 0.500 0.500 0.000 1
# Size of the total moment: 0.000 μB/f.u.
# Total DFT energy (no corrections): -4.547 eV/atom
# Formation enthalpy at 0 K: -5.7 eV per formula unit

---

# PBE Tb4TlAu3, relaxed
data_Tb4TlAu3
_symmetry_space_group_name_H-M 'P m m 2'
_symmetry_Int_Tables_number 25
_cell_length_a 3.770
_cell_length_b 4.774
_cell_length_c 11.279
_cell_angle_alpha 90.00
_cell_angle_beta 90.00
_cell_angle_gamma 90.00
loop_
_symmetry_equiv_pos_as_xyz
'x,y,z'
'-x,-y,z'
'-x,y,z'
'x,-y,z'
loop_
_atom_site_label
_atom_site_type_symbol
_atom_site_fract_x
_atom_site_fract_y
_atom_site_fract_z
_atom_site_occupancy
Tb1 Tb 0.000 0.000 0.000 1
Tb2 Tb 0.000 0.500 0.266 1
Tb3 Tb 0.500 0.000 0.478 1
Tb4 Tb 0.500 0.500 0.779 1
Tl1 Tl 0.000 0.000 0.714 1
Au1 Au 0.000 0.500 0.536 1
Au2 Au 0.500 0.000 0.215 1
Au3 Au 0.500 0.500 0.045 1
# Size of the total moment: 0.000 μB/f.u.
# Total DFT energy (no corrections): -4.550 eV/atom
# Formation enthalpy at 0 K: -5.7 eV per formula unit

---

# PBE TbTl2Au, relaxed
data_TbTl2Au
_symmetry_space_group_name_H-M 'P 4/m m m'
_symmetry_Int_Tables_number 123
_symmetry_space_group_name_Hall '-P 4 2'
_cell_length_a 4.581
_cell_length_b 4.581
_cell_length_c 4.694
_cell_angle_alpha 90.00
_cell_angle_beta 90.00
_cell_angle_gamma 90.00
loop_
_atom_site_label
_atom_site_type_symbol
_atom_site_fract_x
_atom_site_fract_y
_atom_site_fract_z
_atom_site_occupancy
Tb1 Tb 0.000 0.000 0.000 1
Tl1 Tl 0.000 0.500 0.500 1
Au1 Au 0.500 0.500 0.000 1
# Size of the total moment: 0.000 μB/f.u.
# Total DFT energy (no corrections): -3.488 eV/atom
# Formation enthalpy at 0 K: -1.3 eV per formula unit